1.
K2CaThO4 after structural relaxation, computed with PBE.

ΔE_f (raw) (meV per atom): -2674
N(E_F) (states/eV/f.u.): 0.0
Raw total energy (eV per atom): -6.605

Unit cell a=6.1823 b=3.6620 c=6.6019 alpha=90.00 beta=108.03 gamma=90.00
Space group P2/m (No. 10)
Inequivalent atoms, fractional coordinates:
1 K 0.0000 0.0000 0.0000
2 K 0.5000 0.5000 0.0000
3 Ca 0.0000 0.5000 0.5000
4 Th 0.5000 0.0000 0.5000
5 O 0.2453 0.0000 0.6876
6 O 0.2816 0.5000 0.3094

=====

2.
NdSmTm2As4 after structural relaxation, computed with PBE.

Energy relative to the elements (eV per atom): -1.505
N(E_F) (states/eV/f.u.): 0.9
Raw total energy (eV per atom): -6.133

Unit cell a=7.1892 b=4.1581 c=7.1980 alpha=90.00 beta=109.49 gamma=90.00
Space group P2/m (No. 10)
Inequivalent atoms, fractional coordinates:
1 Nd 0.0000 0.0000 0.0000
2 Sm 0.0000 0.5000 0.5000
3 Tm 0.5000 0.0000 0.5000
4 Tm 0.5000 0.5000 0.0000
5 As 0.2607 0.0000 0.7520
6 As 0.2618 0.5000 0.2555

=====

3.
AcZr2PtO8 after structural relaxation, computed with PBE.

ΔE_f (raw) (meV per atom): -2366
N(E_F) (states/eV/f.u.): 3.9
Raw total energy (eV per atom): -7.942

Unit cell a=5.0156 b=6.7840 c=5.0235 alpha=90.00 beta=91.77 gamma=90.00
Space group P2/m (No. 10)
Inequivalent atoms, fractional coordinates:
1 Ac 0.0000 0.0000 0.0000
2 Zr 0.5000 0.2540 0.5000
3 Pt 0.0000 0.5000 0.0000
4 O 0.2101 0.2954 0.2042
5 O 0.2829 0.5000 0.7123
6 O 0.3246 0.0000 0.6643